First-principles (PBE-GGA) data for a relaxed structure of Be2IrF, as listed in the Alexandria database.

Cell and atoms, written as extended XYZ:
```
4
Lattice="-1.1474 -3.3641 1.7386 -3.5843 -0.2478 1.6575 -2.8032 -2.2356 -1.6733" Properties=species:S:1:pos:R:3 pbc="T T T"
Be -5.6513 -4.3856 1.2921
Be -1.8838 -1.4619 0.4307
Ir -3.7675 -2.9237 0.8614
F 0.0000 0.0000 0.0000
```

Calculated values
E_tot = -4.523 eV per atom
formation energy from raw total energies = 24 meV/atom



First-principles (PBE-GGA) data for a relaxed structure of BeIr2F, as listed in the Alexandria database.

Cell and atoms, written as extended XYZ:
```
4
Lattice="-1.9635 2.9190 1.9982 -0.8857 3.4818 -1.8606 -3.8367 0.8698 -0.9448" Properties=species:S:1:pos:R:3 pbc="T T T"
Ir -5.0145 5.4529 -0.6053
F -3.3430 3.6353 -0.4036
Be 0.0000 0.0000 0.0000
Ir -1.6715 1.8176 -0.2018
```

Calculated values
E_tot = -5.597 eV per atom
formation energy from raw total energies = 233 meV/atom



First-principles (PBE-GGA) data for a relaxed structure of BeIr2NF, as listed in the Alexandria database.

Cell and atoms, written as extended XYZ:
```
5
Lattice="-2.0724 3.7168 -1.1372 -0.5156 -1.5402 -4.0945 -2.6172 -1.2182 0.7878" Properties=species:S:1:pos:R:3 pbc="T T T"
Ir -0.2578 -0.7701 -2.0472
N -2.6026 0.4792 -2.2219
Ir -1.0362 1.8584 -0.5686
F -1.3086 -0.6091 0.3939
Be 0.0000 0.0000 0.0000
```

Calculated values
E_tot = -5.264 eV per atom
formation energy from raw total energies = 1065 meV/atom



First-principles (PBE-GGA) data for a relaxed structure of BeIrN2F, as listed in the Alexandria database.

Cell and atoms, written as extended XYZ:
```
5
Lattice="3.7723 0.0000 0.0000 0.0000 3.7723 0.0000 0.0000 0.0000 4.5869" Properties=species:S:1:pos:R:3 pbc="T T T"
N 0.0000 1.8861 0.0000
Ir 0.0000 0.0000 0.0000
F 0.0000 0.0000 2.2934
N 1.8861 0.0000 0.0000
Be 1.8861 1.8861 2.2934
```

Calculated values
E_tot = -5.328 eV per atom
formation energy from raw total energies = 894 meV/atom



First-principles (PBE-GGA) data for a relaxed structure of BeIrN2F, as listed in the Alexandria database.

Cell and atoms, written as extended XYZ:
```
5
Lattice="3.8432 0.0000 0.0000 0.0000 3.8432 0.0000 0.0000 0.0000 2.9522" Properties=species:S:1:pos:R:3 pbc="T T T"
N 0.0000 1.9216 0.0000
Ir 1.9216 1.9216 1.4761
Be 0.0000 0.0000 0.0000
F 0.0000 0.0000 1.4761
N 1.9216 0.0000 0.0000
```

Calculated values
E_tot = -5.581 eV per atom
formation energy from raw total energies = 641 meV/atom



First-principles (PBE-GGA) data for a relaxed structure of BeIrOF2, as listed in the Alexandria database.

Cell and atoms, written as extended XYZ:
```
5
Lattice="4.3685 0.0000 0.0000 0.0000 4.3685 0.0000 0.0000 0.0000 3.7310" Properties=species:S:1:pos:R:3 pbc="T T T"
F 2.1842 0.0000 0.0000
Be 2.1842 2.1842 1.8655
F 0.0000 2.1842 0.0000
Ir 0.0000 0.0000 0.0000
O 0.0000 0.0000 1.8655
```

Calculated values
E_tot = -4.432 eV per atom
formation energy from raw total energies = -175 meV/atom



First-principles (PBE-GGA) data for a relaxed structure of BeIrOF2, as listed in the Alexandria database.

Cell and atoms, written as extended XYZ:
```
5
Lattice="-2.3325 1.2981 -1.5760 -1.8993 -0.5014 2.3980 1.6258 6.0105 2.5444" Properties=species:S:1:pos:R:3 pbc="T T T"
F -1.1662 0.6490 -0.7880
Be 0.0000 0.0000 0.0000
F -0.9497 -0.2507 1.1990
O 0.8129 3.0053 1.2722
Ir -1.3030 3.4036 1.6832
```

Calculated values
E_tot = -5.424 eV per atom
formation energy from raw total energies = -1167 meV/atom



First-principles (PBE-GGA) data for a relaxed structure of BeIrO2F, as listed in the Alexandria database.

Cell and atoms, written as extended XYZ:
```
5
Lattice="-2.9300 0.9536 2.3142 -2.4443 -0.3229 -2.9616 -0.4133 -2.8524 0.6521" Properties=species:S:1:pos:R:3 pbc="T T T"
Be 0.0000 0.0000 0.0000
Ir -2.8938 -1.1108 0.0024
F -0.2067 -1.4262 0.3260
O -1.2221 -0.1614 -1.4808
O -1.4650 0.4768 1.1571
```

Calculated values
E_tot = -5.566 eV per atom
formation energy from raw total energies = -691 meV/atom



First-principles (PBE-GGA) data for a relaxed structure of BeIrO2F, as listed in the Alexandria database.

Cell and atoms, written as extended XYZ:
```
5
Lattice="3.7941 0.0000 0.0000 0.0000 3.7941 0.0000 0.0000 0.0000 4.6571" Properties=species:S:1:pos:R:3 pbc="T T T"
Be 1.8971 1.8971 2.3285
F 0.0000 0.0000 2.3285
Ir 0.0000 0.0000 0.0000
O 0.0000 1.8971 0.0000
O 1.8971 0.0000 0.0000
```

Calculated values
E_tot = -4.917 eV per atom
formation energy from raw total energies = -42 meV/atom



First-principles (PBE-GGA) data for a relaxed structure of BePIrF, as listed in the Alexandria database.

Cell and atoms, written as extended XYZ:
```
4
Lattice="2.7946 0.0005 0.0001 1.3707 3.8013 0.0011 1.2230 1.0686 6.5508" Properties=species:S:1:pos:R:3 pbc="T T T"
Be 2.6060 2.9307 2.2890
P 2.5995 4.4044 3.8190
Ir 2.6222 2.2464 4.5635
F 1.2088 2.7590 1.5266
```

Calculated values
E_tot = -6.027 eV per atom
formation energy from raw total energies = -1060 meV/atom



First-principles (PBE-GGA) data for a relaxed structure of BePIrF, as listed in the Alexandria database.

Cell and atoms, written as extended XYZ:
```
4
Lattice="-1.3215 -0.5898 2.3396 0.7174 -3.6653 -2.1204 6.3189 0.9234 2.5949" Properties=species:S:1:pos:R:3 pbc="T T T"
F 4.5784 -1.1565 2.3011
Be 3.2342 -1.5420 3.0614
Ir 1.4235 -1.9854 1.9525
P 2.0178 -3.4243 0.2957
```

Calculated values
E_tot = -6.112 eV per atom
formation energy from raw total energies = -1145 meV/atom



First-principles (PBE-GGA) data for a relaxed structure of BePIrF, as listed in the Alexandria database.

Cell and atoms, written as extended XYZ:
```
8
Lattice="-4.6442 -1.0137 -2.8252 -1.3637 -0.4707 2.4106 5.2845 8.4156 4.6327" Properties=species:S:1:pos:R:3 pbc="T T T"
Ir 1.9184 6.5068 3.9927
P -4.1650 -0.6682 -2.4866
Be 3.7629 7.1609 5.1639
Ir -0.0420 2.5343 0.4711
F -1.9992 1.0176 -0.9323
F -0.0388 4.9900 2.5894
P -2.2046 3.3043 1.0350
Be 1.8025 3.1885 1.6423
```

Calculated values
E_tot = -5.715 eV per atom
formation energy from raw total energies = -748 meV/atom



First-principles (PBE-GGA) data for a relaxed structure of BePIrF, as listed in the Alexandria database.

Cell and atoms, written as extended XYZ:
```
8
Lattice="-2.0171 -1.1383 1.2170 1.7099 -2.0699 0.8981 5.2379 9.6806 12.3386" Properties=species:S:1:pos:R:3 pbc="T T T"
Be 0.7420 1.1534 5.7076
F 3.7069 8.0986 11.6073
Ir 0.5382 1.8308 3.1948
Be 2.5060 7.0287 11.4278
P 2.7833 5.6997 7.8372
Ir 4.0121 5.6362 9.8131
F 1.9429 2.2233 5.8870
P 1.0193 -0.1755 2.1170
```

Calculated values
E_tot = -5.942 eV per atom
formation energy from raw total energies = -975 meV/atom



First-principles (PBE-GGA) data for a relaxed structure of BePIrF, as listed in the Alexandria database.

Cell and atoms, written as extended XYZ:
```
8
Lattice="3.5742 0.0000 0.0060 0.0000 2.7823 0.0000 -3.4493 0.0000 10.6399" Properties=species:S:1:pos:R:3 pbc="T T T"
Ir 0.1158 0.0000 1.8856
P 1.8697 1.3911 1.0942
F 1.6182 1.3911 4.2623
Be 0.8472 0.0000 4.1477
Be -0.8774 1.3911 9.4677
Ir -1.6089 1.3911 7.2055
P 0.1450 0.0000 6.4141
F -0.1065 0.0000 9.5822
```

Calculated values
E_tot = -5.992 eV per atom
formation energy from raw total energies = -1025 meV/atom



First-principles (PBE-GGA) data for a relaxed structure of Be2IrPdF, as listed in the Alexandria database.

Cell and atoms, written as extended XYZ:
```
5
Lattice="4.2947 0.0000 0.0000 0.0000 3.9672 0.0000 0.0000 0.0000 4.2947" Properties=species:S:1:pos:R:3 pbc="T T T"
F 0.0000 1.9836 0.0000
Pd 2.1473 1.9836 2.1473
Be 2.1473 0.0000 0.0000
Ir 0.0000 0.0000 0.0000
Be 0.0000 0.0000 2.1473
```

Calculated values
E_tot = -4.434 eV per atom
formation energy from raw total energies = 241 meV/atom



First-principles (PBE-GGA) data for a relaxed structure of BeIr2PtF, as listed in the Alexandria database.

Cell and atoms, written as extended XYZ:
```
5
Lattice="4.8154 0.0000 0.0000 0.0000 2.8826 0.0000 0.0000 0.0000 4.8154" Properties=species:S:1:pos:R:3 pbc="T T T"
Pt 2.4077 1.4413 2.4077
F 0.0000 0.0000 0.0000
Ir 0.0000 0.0000 2.4077
Ir 2.4077 0.0000 0.0000
Be 0.0000 1.4413 0.0000
```

Calculated values
E_tot = -5.594 eV per atom
formation energy from raw total energies = 278 meV/atom



First-principles (PBE-GGA) data for a relaxed structure of BeIr2SF, as listed in the Alexandria database.

Cell and atoms, written as extended XYZ:
```
5
Lattice="-1.7164 -2.7814 3.4136 -0.8074 -1.9947 -2.0312 4.2103 -2.1096 0.3981" Properties=species:S:1:pos:R:3 pbc="T T T"
Ir 2.1051 -1.0548 0.1990
Ir -0.8582 -1.3907 1.7068
S 0.8433 -3.4428 0.8902
Be -0.4037 -0.9973 -1.0156
F 0.0000 0.0000 0.0000
```

Calculated values
E_tot = -4.945 eV per atom
formation energy from raw total energies = 544 meV/atom



First-principles (PBE-GGA) data for a relaxed structure of BeTcIrF2, as listed in the Alexandria database.

Cell and atoms, written as extended XYZ:
```
5
Lattice="-2.4957 -1.9365 -2.6037 -0.8999 -3.1395 3.1975 -3.1432 2.2586 1.3330" Properties=species:S:1:pos:R:3 pbc="T T T"
F -1.2479 -0.9682 -1.3019
F -1.5716 1.1293 0.6665
Tc -3.2694 -1.4086 0.9634
Ir 0.0000 0.0000 0.0000
Be -0.4500 -1.5697 1.5988
```

Calculated values
E_tot = -4.853 eV per atom
formation energy from raw total energies = 486 meV/atom